(1)
## LiFe2OF3 (GGA+U)

Data for a geometry-optimized LiFe2OF3 structure.

```
data_LiFe2OF3
_cell_length_a 6.382
_cell_length_b 6.382
_cell_length_c 8.096
_cell_angle_alpha 90.00
_cell_angle_beta 90.00
_cell_angle_gamma 90.00
_space_group_name_H-M_alt 'P 43'
_space_group_IT_number 78
_space_group_name_Hall 'P 4cw'
loop_
_atom_site_label
_atom_site_fract_x
_atom_site_fract_y
_atom_site_fract_z
Li1 0.007 0.246 0.000
Fe1 0.246 0.725 0.910
Fe2 0.250 0.499 0.240
O1 0.254 0.442 0.984
F1 0.019 0.764 0.239
F2 0.028 0.252 0.258
F3 0.233 0.518 0.509
```

N(E_F) = 0.00 states/eV/cell

(2)
## LiFe2OF3 (GGA+U)

Data for a geometry-optimized LiFe2OF3 structure.

```
data_LiFe2OF3
_cell_length_a 9.909
_cell_length_b 6.397
_cell_length_c 6.079
_cell_angle_alpha 90.00
_cell_angle_beta 122.08
_cell_angle_gamma 90.00
_space_group_name_H-M_alt 'C 1 2/m 1'
_space_group_IT_number 12
_space_group_name_Hall '-C 2y'
loop_
_atom_site_label
_atom_site_fract_x
_atom_site_fract_y
_atom_site_fract_z
Li1 0.000 0.000 0.000
Li2 0.000 0.000 0.500
Fe1 0.102 0.500 0.435
Fe2 0.250 0.250 0.000
O1 0.246 0.500 0.800
F1 0.008 0.222 0.256
F2 0.249 0.500 0.263
```

Winner for stability: (1)

(1)
## LiFe2OF3 (GGA+U)

Data for a geometry-optimized LiFe2OF3 structure.

```
data_LiFe2OF3
_cell_length_a 6.096
_cell_length_b 6.104
_cell_length_c 8.930
_cell_angle_alpha 88.74
_cell_angle_beta 89.82
_cell_angle_gamma 86.94
_space_group_name_H-M_alt 'P 1'
_space_group_IT_number 1
_space_group_name_Hall 'P 1'
loop_
_atom_site_label
_atom_site_fract_x
_atom_site_fract_y
_atom_site_fract_z
Li1 0.000 0.000 0.000
Li2 0.241 0.239 0.244
Li3 0.500 0.000 0.002
Li4 0.752 0.264 0.744
Fe1 0.010 0.488 0.491
Fe2 0.244 0.728 0.248
Fe3 0.274 0.933 0.626
Fe4 0.300 0.474 0.876
Fe5 0.508 0.485 0.511
Fe6 0.739 0.052 0.372
Fe7 0.753 0.755 0.758
Fe8 0.798 0.474 0.124
O1 0.028 0.495 0.265
O2 0.251 0.703 0.484
O3 0.531 0.539 0.743
O4 0.772 0.279 0.514
F1 0.004 0.007 0.230
F2 0.012 0.495 0.740
F3 0.233 0.227 0.013
F4 0.255 0.760 0.006
F5 0.281 0.212 0.486
F6 0.485 0.973 0.233
F7 0.503 0.460 0.242
F8 0.504 0.031 0.770
F9 0.739 0.233 0.983
F10 0.750 0.772 0.511
F11 0.759 0.768 0.997
F12 0.991 0.984 0.764
```

N(E_F) = 0.00 states/eV/cell

(2)
## LiFe2OF3 (GGA+U)

Data for a geometry-optimized LiFe2OF3 structure.

```
data_LiFe2OF3
_cell_length_a 6.075
_cell_length_b 6.220
_cell_length_c 8.855
_cell_angle_alpha 90.00
_cell_angle_beta 90.00
_cell_angle_gamma 90.00
_space_group_name_H-M_alt 'P 2 2 21'
_space_group_IT_number 17
_space_group_name_Hall 'P 2c 2'
loop_
_atom_site_label
_atom_site_fract_x
_atom_site_fract_y
_atom_site_fract_z
Li1 0.000 0.240 0.250
Li2 0.240 0.500 0.000
Fe1 0.241 0.221 0.644
Fe2 0.243 0.000 0.000
Fe3 0.500 0.245 0.250
O1 0.252 0.022 0.223
F1 0.001 0.269 0.008
F2 0.255 0.491 0.235
F3 0.494 0.270 0.002
```

N(E_F) = 0.00 states/eV/cell

(3)
## LiFe2OF3 (GGA+U)

Data for a geometry-optimized LiFe2OF3 structure.

```
data_LiFe2OF3
_cell_length_a 5.136
_cell_length_b 6.062
_cell_length_c 10.879
_cell_angle_alpha 90.00
_cell_angle_beta 91.68
_cell_angle_gamma 90.00
_space_group_name_H-M_alt 'P 1 m 1'
_space_group_IT_number 6
_space_group_name_Hall 'P -2y'
loop_
_atom_site_label
_atom_site_fract_x
_atom_site_fract_y
_atom_site_fract_z
Li1 0.000 0.000 0.000
Li2 0.014 0.500 0.508
Li3 0.092 0.000 0.665
Li4 0.145 0.500 0.153
Fe1 0.034 0.000 0.318
Fe2 0.539 0.500 0.847
Fe3 0.554 0.248 0.576
Fe4 0.556 0.500 0.342
Fe5 0.565 0.000 0.823
Fe6 0.584 0.245 0.095
O1 0.374 0.500 0.496
O2 0.392 0.500 0.024
O3 0.730 0.000 0.662
O4 0.810 0.000 0.154
F1 0.260 0.000 0.507
F2 0.304 0.255 0.251
F3 0.328 0.258 0.755
F4 0.361 0.000 0.985
F5 0.785 0.248 0.914
F6 0.794 0.500 0.195
F7 0.804 0.500 0.658
F8 0.827 0.257 0.416
```

N(E_F) = 0.00 states/eV/cell

Winner for stability: (2)